1.
A geometry-optimized ErBe3Rh3 structure. Source: the Alexandria database, functional PBE.

Output
formation energy from the elements: -239.1 meV/atom

a b c (Å): 5.979 5.979 5.979
angles (deg): 90.00 90.00 90.00
Fractional positions:
Be: 0.250 0.000 0.500
Be: 0.000 0.500 0.250
Be: 0.500 0.750 0.000
Be: 0.750 0.000 0.500
Be: 0.000 0.500 0.750
Be: 0.500 0.250 0.000
Rh: 0.000 0.250 0.500
Rh: 0.000 0.750 0.500
Rh: 0.500 0.000 0.750
Rh: 0.750 0.500 0.000
Rh: 0.500 0.000 0.250
Rh: 0.250 0.500 0.000
Er: 0.500 0.500 0.500
Er: 0.000 0.000 0.000

---

2.
A geometry-optimized Ac2La3Y7 structure. Source: the Alexandria database, functional PBE.

Output
formation energy from the elements: 107.1 meV/atom

a b c (Å): 3.646 6.532 18.505
angles (deg): 76.25 90.00 90.00
Fractional positions:
Ac: 0.500 0.630 0.325
Ac: 0.500 0.370 0.675
La: 0.500 0.500 0.000
La: 0.000 0.123 0.339
La: 0.000 0.877 0.661
Y: 0.500 0.245 0.497
Y: 0.500 0.755 0.503
Y: 0.000 0.565 0.161
Y: 0.000 0.000 0.000
Y: 0.000 0.435 0.839
Y: 0.500 0.934 0.838
Y: 0.500 0.066 0.162

---

3.
A geometry-optimized NaTlSb structure. Source: the Alexandria database, functional PBE.

Output
formation energy without anion corrections: -5 kJ per mole of atoms
relative energy among the computed polymorphs: 163 meV per atom

a b c (Å): 4.681 9.670 6.013
angles (deg): 82.74 90.00 104.01
Fractional positions:
Na: 0.712 0.425 0.747
Na: 0.288 0.575 0.253
Tl: 0.925 0.850 0.614
Tl: 0.075 0.150 0.386
Sb: 0.661 0.322 0.264
Sb: 0.339 0.678 0.736

---

4.
A geometry-optimized AcTb2ScS6 structure. Source: the Alexandria database, functional PBE.

Output
formation energy without anion corrections: -193 kJ per mole of atoms

a b c (Å): 6.991 6.991 7.378
angles (deg): 61.72 61.72 60.00
Fractional positions:
Ac: 0.802 0.802 0.594
Tb: 0.523 0.523 0.432
Tb: 0.011 0.011 0.967
Sc: 0.321 0.321 0.036
S: 0.595 0.226 0.243
S: 0.226 0.935 0.243
S: 0.935 0.595 0.244
S: 0.375 0.716 0.752
S: 0.716 0.157 0.752
S: 0.157 0.375 0.752

---

5.
A geometry-optimized ZrBe3Pb structure. Source: the Alexandria database, functional PBE.

Output
formation energy from the elements: 1439.4 meV/atom
relative energy among the computed polymorphs: 165 meV per atom

a b c (Å): 4.806 4.806 4.806
angles (deg): 90.00 90.00 90.00
Fractional positions:
Pb: 0.500 0.500 0.500
Be: 0.000 0.500 0.000
Be: 0.000 0.000 0.500
Be: 0.500 0.000 0.000
Zr: 0.000 0.000 0.000

---

6.
A geometry-optimized AcPm4Tl2 structure. Source: the Alexandria database, functional PBE.

Output
formation energy from the elements: 104.4 meV/atom
relative energy among the computed polymorphs: 22 meV per atom

a b c (Å): 4.410 4.410 12.965
angles (deg): 99.79 99.79 90.00
Fractional positions:
Ac: 0.000 0.000 0.000
Pm: 0.136 0.136 0.272
Pm: 0.864 0.864 0.728
Pm: 0.750 0.250 0.500
Pm: 0.250 0.750 0.500
Tl: 0.580 0.580 0.160
Tl: 0.420 0.420 0.840

---

7.
A geometry-optimized Zr6Tc5Ni structure. Source: the Alexandria database, functional PBE.

Output
formation energy from the elements: -386.7 meV/atom

a b c (Å): 4.652 6.561 8.049
angles (deg): 114.05 106.79 90.00
Fractional positions:
Ni: 0.000 0.000 0.000
Tc: 0.665 0.165 0.329
Tc: 0.334 0.334 0.668
Tc: 0.000 0.500 0.000
Tc: 0.666 0.666 0.332
Tc: 0.335 0.835 0.671
Zr: 0.833 0.581 0.665
Zr: 0.833 0.084 0.665
Zr: 0.500 0.748 0.000
Zr: 0.500 0.252 0.000
Zr: 0.167 0.916 0.335
Zr: 0.167 0.419 0.335

---

8.
A geometry-optimized La4AlTlAg2 structure. Source: the Alexandria database, functional PBE.

Output
formation energy from the elements: -316.5 meV/atom

a b c (Å): 5.473 5.473 9.515
angles (deg): 73.29 73.29 60.00
Fractional positions:
La: 0.379 0.379 0.864
La: 0.871 0.871 0.386
La: 0.129 0.129 0.614
La: 0.621 0.621 0.136
Al: 0.500 0.500 0.500
Tl: 0.000 0.000 0.000
Ag: 0.749 0.749 0.754
Ag: 0.251 0.251 0.246

---

9.
A geometry-optimized Co2AgOs structure. Source: the Alexandria database, functional PBE.

Output
formation energy from the elements: 321.0 meV/atom
relative energy among the computed polymorphs: 31 meV per atom

a b c (Å): 8.842 8.842 8.842
angles (deg): 17.49 17.49 17.49
Fractional positions:
Ag: 0.750 0.750 0.750
Co: 0.995 0.995 0.995
Co: 0.505 0.505 0.505
Os: 0.250 0.250 0.250

---

Calculated magnetization in order - 0.000 0.000 0.000 0.000 0.000 0.000 0.000 0.002 0.754 μB per atom
Calculated E in order - -39.47 -66.96 -7.95 -64.51 -16.24 -27.11 -113.54 -34.05 -27.01 eV per formula unit